{"formula": "RbTb2H", "functional": "PBE-GGA", "state": "optimized geometry", "lattice_angstrom": [[3.668, 0.000, 0.000], [-1.834, 3.177, 0.000], [0.000, 0.000, 30.889]], "species": ["Rb", "Rb", "Rb", "Tb", "Tb", "Tb", "Tb", "Tb", "Tb", "H", "H", "H"], "frac_coords": [[0.000, 0.000, 0.000], [0.333, 0.667, 0.667], [0.667, 0.333, 0.333], [0.000, 0.000, 0.124], [0.000, 0.000, 0.876], [0.333, 0.667, 0.543], [0.333, 0.667, 0.791], [0.667, 0.333, 0.209], [0.667, 0.333, 0.457], [0.000, 0.000, 0.500], [0.333, 0.667, 0.167], [0.667, 0.333, 0.833]], "sg": "R-3m"}



{"formula": "Sr3Cu2Ag4", "functional": "PBE-GGA", "state": "optimized geometry", "lattice_angstrom": [[5.797, -2.318, 0.000], [5.797, 2.318, 0.000], [-2.789, 0.000, 8.664]], "species": ["Sr", "Sr", "Sr", "Cu", "Cu", "Ag", "Ag", "Ag", "Ag"], "frac_coords": [[0.000, 0.000, 0.000], [0.331, 0.331, 0.338], [0.669, 0.669, 0.662], [0.392, 0.392, 0.722], [0.608, 0.608, 0.278], [0.054, 0.054, 0.381], [0.282, 0.282, 0.935], [0.718, 0.718, 0.065], [0.946, 0.946, 0.619]], "sg": "C2/m", "formation_energy_mev_per_atom": -205}



In order of appearance, electronic total energy = -3.296 -2.944 eV per atom.
In order of appearance, volume = 30.00 25.88 A^3/atom.